[1]
LiGa2Fe | Alexandria | GGA-PBE | relaxed; space group = P4/mmm, No. 123; formation energy = -0.19 eV/atom
1.0
-1.290 -1.077 -2.473
-0.056 -2.730 1.219
-5.269 1.118 2.261
Ga Fe Li
2 1 1
Cartesian
-4.040 0.857 1.734
-1.228 0.261 0.527
-0.673 -1.904 -0.627
-3.307 -1.345 0.503

[2]
LiGa2Fe2 | Alexandria | GGA-PBE | relaxed; space group = P4/mbm, No. 127; polymorph energy (0 for the lowest one) = 0.00 eV per formula unit; formation energy = -0.13 eV/atom
1.0
-5.226 4.270 -2.852
2.505 -1.433 -6.735
-1.594 -2.055 -0.156
Li Ga Fe
2 4 4
Cartesian
-1.361 1.418 -4.794
0.000 0.000 0.000
-2.024 0.085 -2.200
-4.283 2.017 -4.578
-2.292 0.697 -7.542
-0.033 -1.235 -5.164
-2.929 2.464 -2.538
0.207 0.373 -7.049
0.356 -0.055 -2.917
-3.077 2.892 -6.670

[3]
LiGa2Fe | Alexandria | GGA-PBE | relaxed; space group = R-3m, No. 166; formation energy = -0.08 eV/atom
1.0
-1.355 -2.374 -0.583
0.590 -2.332 1.423
-6.299 0.452 6.098
Ga Li Fe
2 1 1
Cartesian
-5.375 -3.164 5.278
-1.689 -1.089 1.660
-3.532 -2.127 3.469
0.000 0.000 0.000

[4]
LiGaFe2 | Alexandria | GGA-PBE | relaxed; space group = I-42d, No. 122; formation energy = 0.37 eV/atom
1.0
-4.574 3.412 3.286
2.345 -2.338 5.692
0.438 2.469 4.643
Fe Ga Li
4 2 2
Cartesian
-2.455 2.456 3.925
-1.623 2.792 11.336
1.002 -0.416 5.130
-0.507 2.254 6.851
-2.625 3.209 6.209
0.000 0.000 0.000
0.834 0.334 7.412
-1.114 0.537 4.489

[5]
Li2Ga6Fe | Alexandria | GGA-PBE | relaxed; space group = P4_2/mnm, No. 136; formation energy = 0.11 eV/atom
1.0
-4.367 1.527 1.714
-1.871 -0.232 -4.559
-4.207 -14.819 2.481
Li Ga Fe
4 12 2
Cartesian
-0.972 -3.426 0.574
-3.234 -11.394 1.907
-4.250 -3.337 -0.756
-6.195 -10.188 0.391
-2.308 0.075 -3.462
-5.454 -4.552 1.331
-5.511 -12.742 1.380
-3.930 1.219 0.617
-6.422 -7.965 1.902
-8.172 -12.189 0.166
-6.314 -6.536 -0.680
-4.131 -6.989 0.316
-4.934 -0.783 -1.744
-4.991 -8.973 -1.695
-2.273 -1.336 -0.530
-4.022 -5.560 -2.266
-2.103 -7.410 1.240
-3.119 0.647 -1.423

[6]
LiGa2Fe | Alexandria | GGA-PBE | relaxed; space group = R3m, No. 160; formation energy = -0.10 eV/atom
1.0
2.805 0.000 0.000
1.402 2.429 0.000
1.402 0.810 8.519
Ga Fe Li
2 1 1
Cartesian
1.402 0.810 6.492
1.402 0.810 2.036
2.805 1.619 0.004
2.805 1.619 4.248

[7]
LiGaFe2N | Alexandria | GGA-PBE | relaxed; space group = P4/mmm, No. 123; polymorph energy (0 for the lowest one) = 0.00 eV per formula unit; raw formation energy = -1.3 eV/f.u.
1.0
-1.192 -3.427 -0.576
2.613 -0.483 -2.537
2.388 -1.286 2.704
Fe Li Ga N
2 1 1 1
Cartesian
-0.596 -1.713 -0.288
1.306 -0.241 -1.269
1.194 -0.643 1.352
1.904 -2.598 -0.205
0.000 0.000 0.000

[8]
LiGaFe2N | Alexandria | GGA-PBE | relaxed; space group = P4/mmm, No. 123; polymorph energy (0 for the lowest one) = 6.43 eV per formula unit; raw formation energy = 5.2 eV/f.u.
1.0
4.262 0.000 0.000
0.000 3.310 0.000
0.000 0.000 4.262
Ga Fe Li N
1 2 1 1
Cartesian
2.131 1.655 2.131
2.131 0.000 0.000
0.000 0.000 2.131
0.000 0.000 0.000
0.000 1.655 0.000